Record 1
The following is a PBE-GGA calculation of an optimized crystal structure of KCdAg2Cl8, from Alexandria.

a b c (Å): 7.0269 7.0269 13.6006
angles (deg): 90.00 90.00 90.00
Last column: nearest neighbours and their distance in Å.
Space group I-4 (No. 82)
Unique sites:
K: 0.0000 0.0000 0.0000 x2  4 Cl 3.19
Cd: 0.0000 0.5000 0.7500 x2  4 Cl 2.60
Ag: 0.0000 0.0000 0.5000 x2  4 Cl 2.32
Ag: 0.0000 0.5000 0.2500 x2  4 Cl 2.54
Cl: 0.0839 0.3196 0.5083 x8  1 Ag 2.32
Cl: 0.1846 0.8100 0.2351 x8  1 Ag 2.54, 1 Cd 2.60

Values from the calculation:
Its volume is 671.6 Å³ per cell. The magnetization is 0.0 Bohr magnetons per cell. The value obtained for the formation energy from raw total energies is -0.653 eV/atom.

Record 2
The following is a PBE-GGA calculation of an optimized crystal structure of K3Cd2AgCl9, from Alexandria.

a b c (Å): 7.3707 7.3707 9.0710
angles (deg): 90.00 90.00 120.00
Last column: nearest neighbours and their distance in Å.
Space group P-3m1 (No. 164)
Unique sites:
K: 0.0000 0.0000 0.0000 x1  12 Cl 3.69-3.72
K: 0.3333 0.6667 0.6543 x2  12 Cl 3.58-3.79
Cd: 0.3333 0.6667 0.1686 x2  6 Cl 2.61-2.62
Ag: 0.0000 0.0000 0.5000 x1  6 Cl 2.60
Cl: 0.0000 0.5000 0.0000 x3  2 Cd 2.62
Cl: 0.1672 0.3344 0.3361 x6  1 Ag 2.60, 1 Cd 2.61

Values from the calculation:
Its volume is 426.8 Å³ per cell. The magnetization is 0.0 Bohr magnetons per cell. The value obtained for the formation energy from raw total energies is -1.253 eV/atom.

Record 3
The following is a PBE-GGA calculation of an optimized crystal structure of K3CdAg2Cl9, from Alexandria.

a b c (Å): 7.3065 7.3065 8.9607
angles (deg): 90.00 90.00 120.00
Last column: nearest neighbours and their distance in Å.
Space group P-3m1 (No. 164)
Unique sites:
K: 0.0000 0.0000 0.0000 x1  12 Cl 3.64-3.65
K: 0.3333 0.6667 0.6644 x2  12 Cl 3.65-3.67
Cd: 0.0000 0.0000 0.5000 x1  6 Cl 2.61
Ag: 0.3333 0.6667 0.1610 x2  6 Cl 2.56-2.59
Cl: 0.0000 0.5000 0.0000 x3  2 Ag 2.56
Cl: 0.1674 0.3348 0.3303 x6  1 Ag 2.59, 1 Cd 2.61

Values from the calculation:
Its volume is 414.3 Å³ per cell. The magnetization is 0.0 Bohr magnetons per cell. The value obtained for the formation energy from raw total energies is -1.135 eV/atom.

Record 4
The following is a PBE-GGA calculation of an optimized crystal structure of KCd2AgCl6, from Alexandria.

a b c (Å): 13.8468 13.2962 7.6862
angles (deg): 90.00 110.10 90.00
Last column: nearest neighbours and their distance in Å.
Space group C2/c (No. 15)
Unique sites:
K: 0.0000 0.1148 0.2500 x4  6 Cl 3.13-3.20
Cd: 0.1865 0.4232 0.2010 x8  4 Cl 2.49-2.56
Ag: 0.0000 0.2207 0.7500 x4  4 Cl 2.51-2.80
Cl: 0.1222 0.0728 0.6685 x8  1 Cd 2.49
Cl: 0.1224 0.4345 0.4751 x8  2 Cd 2.51-2.56
Cl: 0.1235 0.2540 0.0703 x8  1 Cd 2.50, 1 Ag 2.51

Values from the calculation:
Its volume is 1328.9 Å³ per cell. The magnetization is 0.0 Bohr magnetons per cell. The value obtained for the formation energy from raw total energies is -1.120 eV/atom.

Record 5
The following is a PBE-GGA calculation of an optimized crystal structure of K2CdAg2Cl6, from Alexandria.

a b c (Å): 13.3793 7.4869 7.3989
angles (deg): 90.00 119.63 90.00
Last column: nearest neighbours and their distance in Å.
Space group C2/m (No. 12)
Unique sites:
K: 0.2351 0.0000 0.1773 x4  5 Cl 3.10-3.24
Cd: 0.0000 0.0000 0.5000 x2  6 Cl 2.67-2.69
Ag: 0.0681 0.5000 0.2289 x4  3 Cl 2.47-2.55
Cl: 0.0643 0.2432 0.8007 x8  1 Ag 2.55, 1 Cd 2.67
Cl: 0.2195 0.0000 0.5819 x4  1 Ag 2.47, 1 Cd 2.69

Values from the calculation:
Its volume is 644.2 Å³ per cell. The magnetization is 0.0 Bohr magnetons per cell. The value obtained for the formation energy from raw total energies is -1.148 eV/atom.

Record 6
The following is a PBE-GGA calculation of an optimized crystal structure of K2CdAgCl5, from Alexandria.

a b c (Å): 4.1284 18.1124 13.5602
angles (deg): 90.00 90.00 90.00
Last column: nearest neighbours and their distance in Å.
Space group Cmc2_1 (No. 36)
Unique sites:
K: 0.0000 0.0957 0.0000 x4  6 Cl 3.11-3.42
K: 0.0000 0.1338 0.6375 x4  7 Cl 3.15-3.34
Cd: 0.0000 0.2195 0.3557 x4  6 Cl 2.60-2.76
Ag: 0.0000 0.4545 0.7764 x4  3 Cl 2.48-2.60
Cl: 0.0000 0.0732 0.3865 x4  2 Ag 2.60, 1 Cd 2.68
Cl: 0.0000 0.2719 0.9901 x4  2 Cd 2.76
Cl: 0.0000 0.2984 0.7274 x4  2 Cd 2.72, 1 Ag 2.90
Cl: 0.0000 0.3615 0.3302 x4  1 Cd 2.60
Cl: 0.0000 0.4952 0.1063 x4  1 Ag 2.48

Values from the calculation:
Its volume is 1014.0 Å³ per cell. The magnetization is 0.0 Bohr magnetons per cell. The value obtained for the formation energy from raw total energies is -1.341 eV/atom.

Record 7
The following is a PBE-GGA calculation of an optimized crystal structure of K4CdAg3Cl12, from Alexandria.

a b c (Å): 10.3122 10.3122 10.3122
angles (deg): 90.00 90.00 90.00
Last column: nearest neighbours and their distance in Å.
Space group Im-3m (No. 229)
Unique sites:
K: 0.2500 0.2500 0.2500 x8  12 Cl 3.65
Cd: 0.0000 0.0000 0.0000 x2  6 Cl 2.59
Ag: 0.0000 0.0000 0.5000 x6  6 Cl 2.57-2.58
Cl: 0.0000 0.0000 0.2512 x12  1 Ag 2.57, 1 Cd 2.59
Cl: 0.0000 0.2500 0.5000 x12  2 Ag 2.58

Values from the calculation:
Its volume is 1096.6 Å³ per cell. The magnetization is 0.0 Bohr magnetons per cell. The value obtained for the formation energy from raw total energies is -1.106 eV/atom.

Record 8
The following is a PBE-GGA calculation of an optimized crystal structure of KCdAgCl4, from Alexandria.

a b c (Å): 6.9208 7.4021 8.3613
angles (deg): 90.00 101.67 90.00
Last column: nearest neighbours and their distance in Å.
Space group P2_1/m (No. 11)
Unique sites:
K: 0.2224 0.2500 0.0638 x2  6 Cl 3.16-3.37
Cd: 0.2278 0.7500 0.3445 x2  4 Cl 2.48-2.54
Ag: 0.2633 0.2500 0.6289 x2  4 Cl 2.57-2.75
Cl: 0.0267 0.0048 0.7305 x4  1 Cd 2.52, 1 Ag 2.69
Cl: 0.4170 0.7500 0.1144 x2  1 Cd 2.54, 1 Ag 2.75
Cl: 0.4890 0.2500 0.4201 x2  1 Cd 2.48, 1 Ag 2.57

Values from the calculation:
Its volume is 419.5 Å³ per cell. The magnetization is 0.0 Bohr magnetons per cell. The value obtained for the formation energy from raw total energies is -1.116 eV/atom.

Record 9
The following is a PBE-GGA calculation of an optimized crystal structure of LiCdAg2Cl5, from Alexandria.

a b c (Å): 3.9253 16.4550 13.8058
angles (deg): 90.00 90.00 90.00
Last column: nearest neighbours and their distance in Å.
Space group Cmc2_1 (No. 36)
Unique sites:
Li: 0.0000 0.1068 0.0000 x4  4 Cl 2.38-2.52
Cd: 0.0000 0.2413 0.6214 x4  6 Cl 2.60-2.77
Ag: 0.0000 0.4193 0.9537 x4  5 Cl 2.66-2.83
Ag: 0.0000 0.4404 0.2396 x4  5 Cl 2.75-2.77
Cl: 0.0000 0.0105 0.8662 x4  1 Li 2.43
Cl: 0.0000 0.0807 0.6018 x4  1 Cd 2.66, 4 Ag 2.76-2.83
Cl: 0.0000 0.2591 0.9803 x4  1 Li 2.52, 1 Ag 2.66, 2 Cd 2.77
Cl: 0.0000 0.2723 0.2471 x4  2 Cd 2.63, 1 Ag 2.77
Cl: 0.0000 0.3978 0.5976 x4  2 Li 2.38, 1 Cd 2.60

Values from the calculation:
Its volume is 891.7 Å³ per cell. The magnetization is 0.0 Bohr magnetons per cell. The value obtained for the formation energy from raw total energies is -0.927 eV/atom.

Record 10
The following is a PBE-GGA calculation of an optimized crystal structure of Li2CdAgCl6, from Alexandria.

a b c (Å): 14.6200 11.6329 6.9128
angles (deg): 90.00 111.76 90.00
Last column: nearest neighbours and their distance in Å.
Space group C2/c (No. 15)
Unique sites:
Li: 0.1980 0.0914 0.0869 x8  4 Cl 2.31-2.42
Cd: 0.0000 0.3276 0.7500 x4  4 Cl 2.43-2.67
Ag: 0.0000 0.1002 0.2500 x4  4 Cl 2.50-2.52
Cl: 0.0955 0.2446 0.1330 x8  1 Li 2.42, 1 Ag 2.50, 1 Cd 2.67
Cl: 0.1170 0.0520 0.7202 x8  2 Li 2.41-2.42, 1 Ag 2.52
Cl: 0.1406 0.4026 0.6825 x8  1 Li 2.31, 1 Cd 2.43

Values from the calculation:
Its volume is 1091.9 Å³ per cell. The magnetization is 4.2 Bohr magnetons per cell. The value obtained for the formation energy from raw total energies is -1.092 eV/atom.

Record 11
The following is a PBE-GGA calculation of an optimized crystal structure of MgCdAg2Cl6, from Alexandria.

a b c (Å): 6.7704 6.7704 17.8282
angles (deg): 90.00 90.00 120.00
Last column: nearest neighbours and their distance in Å.
Space group R3 (No. 146, hexagonal axes)
Unique sites:
Mg: 0.0000 0.0000 0.0000 x3  6 Cl 2.53-2.56
Cd: 0.0000 0.0000 0.5023 x3  6 Cl 2.64-2.71
Ag: 0.0000 0.0000 0.2906 x3  3 Cl 2.63
Ag: 0.0000 0.0000 0.7864 x3  3 Cl 2.64
Cl: 0.0002 0.3718 0.7420 x9  1 Mg 2.53, 1 Ag 2.64, 1 Cd 2.71
Cl: 0.0473 0.6929 0.5789 x9  1 Mg 2.56, 1 Ag 2.63, 1 Cd 2.64

Values from the calculation:
Its volume is 707.8 Å³ per cell. The magnetization is 0.0 Bohr magnetons per cell. The value obtained for the formation energy from raw total energies is -1.021 eV/atom.

Record 12
The following is a PBE-GGA calculation of an optimized crystal structure of MnCdAgCl5, from Alexandria.

a b c (Å): 8.9726 10.9420 9.7279
angles (deg): 90.00 115.54 90.00
Last column: nearest neighbours and their distance in Å.
Space group C2/c (No. 15)
Unique sites:
Mn: 0.0000 0.1736 0.2500 x4  4 Cl 2.33-2.36
Cd: 0.0000 0.5000 0.0000 x4  6 Cl 2.61-2.75
Ag: 0.0000 0.1551 0.7500 x4  3 Cl 2.59-2.78
Cl: 0.0000 0.3918 0.7500 x4  1 Ag 2.59, 2 Cd 2.70
Cl: 0.1298 0.2954 0.1375 x8  1 Mn 2.33
Cl: 0.1740 0.0367 0.4373 x8  1 Mn 2.36

Values from the calculation:
Its volume is 861.8 Å³ per cell. The magnetization is 20.0 Bohr magnetons per cell. The value obtained for the formation energy from raw total energies is -0.873 eV/atom.

| no. | theoretical density (g/cm3) |
| --- | --- |
| 1 | 3.2 |
| 2 | 3.0 |
| 3 | 3.1 |
| 4 | 2.9 |
| 5 | 3.2 |
| 6 | 3.1 |
| 7 | 3.1 |
| 8 | 3.2 |
| 9 | 3.8 |
| 10 | 2.7 |
| 11 | 4.0 |
| 12 | 3.5 |